[1]
The following is a PBE calculation of a relaxed Rb2NaHfF6 crystal, from Alexandria.

```
Rb2NaHfF6
1.0
-0.179 -3.440 5.710
-4.608 -4.736 0.896
4.898 -9.812 -1.863
Hf F Na Rb
2 12 2 4
Direct
0.500 0.500 0.500
0.000 0.000 0.000
0.179 0.179 0.882
0.179 0.760 0.882
0.760 0.179 0.882
0.821 0.821 0.118
0.374 0.374 0.404
0.240 0.821 0.118
0.821 0.240 0.118
0.848 0.374 0.404
0.374 0.848 0.404
0.152 0.626 0.596
0.626 0.626 0.596
0.626 0.152 0.596
0.608 0.608 0.175
0.392 0.392 0.825
0.738 0.738 0.786
0.870 0.870 0.391
0.130 0.130 0.609
0.262 0.262 0.214
```

**Space-group type**: R-3m, No. 166
**Mass density**: 4.02 g/cm³
**Energy relative to the elements, uncorrected**: -3.0307 eV per atom
**Total energy**: -109.49 eV for the cell shown


[2]
The following is a PBE calculation of a relaxed NaHf2TiF11 crystal, from Alexandria.

```
NaHf2TiF11
1.0
-0.828 -4.950 2.819
2.773 -4.085 -2.960
6.522 -2.184 3.737
Hf F Ti Na
2 11 1 1
Direct
0.506 0.506 0.229
0.513 0.513 0.762
0.758 0.758 0.641
0.208 0.785 0.302
0.510 0.510 0.495
0.277 0.277 0.883
0.742 0.742 0.104
0.341 0.676 0.995
0.785 0.208 0.302
0.233 0.812 0.689
0.812 0.233 0.689
0.676 0.341 0.995
0.261 0.261 0.350
0.009 0.009 0.495
0.010 0.010 0.988
```

**Space-group type**: Cm, No. 8
**Mass density**: 4.74 g/cm³
**Energy relative to the elements, uncorrected**: -3.5111 eV per atom
**Total energy**: -102.37 eV for the cell shown


[3]
The following is a PBE calculation of a relaxed NaHfTlF6 crystal, from Alexandria.

```
NaHfTlF6
1.0
5.961 0.000 0.000
-2.981 5.163 0.000
0.000 0.000 11.357
Tl Hf F Na
2 2 12 2
Direct
0.000 0.000 0.000
0.000 0.000 0.500
0.667 0.333 0.250
0.333 0.667 0.750
0.959 0.600 0.349
0.600 0.959 0.849
0.959 0.359 0.151
0.641 0.600 0.151
0.400 0.041 0.151
0.041 0.641 0.849
0.400 0.359 0.349
0.359 0.959 0.651
0.041 0.400 0.651
0.600 0.641 0.651
0.359 0.400 0.849
0.641 0.041 0.349
0.333 0.667 0.250
0.667 0.333 0.750
```

**Space-group type**: P-31c, No. 163
**Mass density**: 4.94 g/cm³
**Energy relative to the elements, uncorrected**: -3.2186 eV per atom
**Total energy**: -107.67 eV for the cell shown


[4]
The following is a PBE calculation of a relaxed Na2HfZrF crystal, from Alexandria.

```
Na2HfZrF
1.0
-0.890 6.060 -0.866
-4.577 -0.375 2.079
2.435 1.153 5.568
F Hf Na Zr
1 1 2 1
Direct
0.500 0.500 0.500
0.000 0.000 0.000
0.500 0.000 0.000
0.000 0.000 0.500
0.000 0.500 0.000
```

**Space-group type**: P4/mmm, No. 123
**Mass density**: 2.88 g/cm³
**Energy relative to the elements, uncorrected**: 0.9098 eV per atom
**Total energy**: -18.46 eV for the cell shown


[5]
The following is a PBE calculation of a relaxed HfNbF2 crystal, from Alexandria.

```
HfNbF2
1.0
-0.285 4.006 -0.859
-1.345 0.722 3.813
5.959 3.318 3.685
Hf Nb F
2 2 4
Direct
0.000 0.000 0.000
0.750 0.250 0.500
0.250 0.750 0.500
0.500 0.500 0.000
0.098 0.625 0.250
0.652 0.125 0.250
0.375 0.348 0.750
0.875 0.902 0.750
```

**Space-group type**: I-42d, No. 122
**Mass density**: 8.47 g/cm³
**Energy relative to the elements, uncorrected**: -1.1651 eV per atom
**Total energy**: -56.85 eV for the cell shown
**ΔE to the lowest computed polymorph**: 340.7 meV/atom


[6]
The following is a PBE calculation of a relaxed HfNbF2 crystal, from Alexandria.

```
HfNbF2
1.0
-3.817 -0.745 1.935
-3.699 1.065 -2.012
-2.627 -3.114 -1.506
Nb F Hf
1 2 1
Direct
0.000 0.000 0.000
0.250 0.250 0.250
0.750 0.750 0.750
0.500 0.500 0.500
```

**Space-group type**: Fm-3m, No. 225
**Mass density**: 8.87 g/cm³
**Energy relative to the elements, uncorrected**: -0.5695 eV per atom
**Total energy**: -26.04 eV for the cell shown
**ΔE to the lowest computed polymorph**: 936.2 meV/atom